# 1
This record from Alexandria describes a geometry-optimized Sc2Be2Sb structure. The functional is PBE.

a b c (Å): 4.2652 4.2652 10.2792
angles (deg): 90.00 90.00 90.00
With the nearest neighbours (Å) after each atom.
Space group I4/mmm (No. 139)
Symmetry-distinct sites (fractional):
Sc (0.0000, 0.5000, 0.2500) x4  4 Be 2.65
Be (0.0000, 0.0000, 0.0968) x4  1 Be 1.99
Sb (0.0000, 0.0000, 0.5000) x2  8 Be 3.18, 8 Sc 3.34

Properties
E above lowest polymorph = 57.3 kJ/mol of atoms
Formation energy without anion corrections = 0.23 eV/atom
Total DFT energy (no corrections) = -46.2 eV per cell
Total moment = 1.0 μB/cell

---

# 2
This record from Alexandria describes a geometry-optimized CuRh structure. The functional is PBE.

a b c (Å): 4.9327 4.9327 4.9327
angles (deg): 90.00 90.00 90.00
With the nearest neighbours (Å) after each atom.
Space group Fm-3m (No. 225)
Symmetry-distinct sites (fractional):
Cu (0.0000, 0.0000, 0.0000) x4  6 Rh 2.47
Rh (0.0000, 0.0000, 0.5000) x4  6 Cu 2.47

Properties
Formation energy from the elements = 0.7179 eV/atom
Total DFT energy (no corrections) = -40.0 eV per cell
Total moment = 0.0 μB/cell

---

# 3
This record from Alexandria describes a geometry-optimized Ge3MoRu structure. The functional is PBE.

a b c (Å): 4.8534 4.8534 4.8534
angles (deg): 90.00 90.00 90.00
With the nearest neighbours (Å) after each atom.
Space group Pm-3m (No. 221)
Symmetry-distinct sites (fractional):
Ge (0.0000, 0.0000, 0.5000) x3  2 Ru 2.43
Mo (0.5000, 0.5000, 0.5000) x1  12 Ge 3.43
Ru (0.0000, 0.0000, 0.0000) x1  6 Ge 2.43

Properties
E above lowest polymorph = 0.0 kJ/mol of atoms
Formation energy from the elements = 0.9371 eV/atom
Total DFT energy (no corrections) = -29.3 eV per cell
Total moment = 4.0 μB/cell

---

# 4
This record from Alexandria describes a geometry-optimized Na5B7C3 structure. The functional is PBE.

a b c (Å): 8.5551 2.8350 25.6682
angles (deg): 90.00 90.00 90.00
With the nearest neighbours (Å) after each atom.
Space group Amm2 (No. 38)
Symmetry-distinct sites (fractional):
Na (0.2455, 0.0000, 0.0000) x4  11 B 2.67-2.90, 1 C 2.79, 6 Na 2.84-2.96
Na (0.2467, 0.0000, 0.3987) x4  7 B 2.64-2.78, 5 C 2.66-2.73, 4 Na 2.84-2.91
Na (0.2485, 0.0000, 0.2012) x4  7 B 2.68-2.75, 5 C 2.68-2.71, 6 Na 2.84-2.93
Na (0.2479, 0.0000, 0.6013) x4  9 B 2.65-2.80, 3 C 2.71-2.76, 6 Na 2.84-2.96
Na (0.2505, 0.0000, 0.7996) x4  8 B 2.69-2.78, 4 C 2.70-2.73, 6 Na 2.84-2.91
B (0.0000, 0.0000, 0.0737) x2  1 C 1.64, 2 B 1.76
B (0.0000, 0.0000, 0.2664) x2  3 C 1.64-1.67
B (0.0000, 0.0000, 0.4604) x2  2 C 1.64
B (0.0000, 0.0000, 0.5330) x2  3 B 1.76-1.86
B (0.0000, 0.0000, 0.6698) x2  3 C 1.64-1.66
B (0.0000, 0.0000, 0.8631) x2  3 C 1.64-1.68
B (0.5000, 0.0000, 0.0717) x2  3 B 1.72-1.75
B (0.5000, 0.0000, 0.1386) x2  2 C 1.61, 1 B 1.72
B (0.5000, 0.0000, 0.2682) x2  3 B 1.71-1.72
B (0.5000, 0.0000, 0.3349) x2  2 C 1.62, 1 B 1.71
B (0.5000, 0.0000, 0.4668) x2  3 B 1.66-1.77
B (0.5000, 0.0000, 0.5315) x2  3 B 1.66-1.75
B (0.5000, 0.0000, 0.7303) x2  1 C 1.59, 2 B 1.72
B (0.5000, 0.0000, 0.9256) x2  1 C 1.54
C (0.0000, 0.0000, 0.1374) x2  3 B 1.64
C (0.0000, 0.0000, 0.3313) x2  3 B 1.64-1.67
C (0.0000, 0.0000, 0.7344) x2  3 B 1.64-1.66
C (0.0000, 0.0000, 0.9285) x2  3 B 1.64-1.68
C (0.5000, 0.0000, 0.6683) x2  3 B 1.59-1.61
C (0.5000, 0.0000, 0.8657) x2  3 B 1.54-1.62

Properties
E above lowest polymorph = 1.8 kJ/mol of atoms
Formation energy from the elements = 0.1319 eV/atom
Total DFT energy (no corrections) = -316.1 eV per cell
Total moment = 0.0 μB/cell

---

# 5
This record from Alexandria describes a geometry-optimized Na6H2Br3Cl structure. The functional is PBE.

a b c (Å): 6.9297 12.0008 6.9418
angles (deg): 90.00 109.49 90.00
With the nearest neighbours (Å) after each atom.
Space group C2/m (No. 12)
Symmetry-distinct sites (fractional):
Na (0.2242, 0.0000, 0.2199) x4  2 H 2.68, 1 Cl 2.82, 3 Br 2.87-2.97
Na (0.2485, 0.3252, 0.2213) x8  2 H 2.68, 1 Cl 2.82, 3 Br 2.87-2.99
H (0.0000, 0.1666, 0.0000) x4  6 Na 2.68
Br (0.0000, 0.0000, 0.5000) x2  6 Na 2.87-2.99
Br (0.0000, 0.3355, 0.5000) x4  6 Na 2.87-2.99
Cl (0.0000, 0.5000, 0.0000) x2  6 Na 2.82

Properties
Total DFT energy (no corrections) = -69.2 eV per cell
Total moment = 0.0 μB/cell

---

# 6
This record from Alexandria describes a geometry-optimized AlMoIrC2 structure. The functional is PBE.

a b c (Å): 3.9582 3.9582 5.1055
angles (deg): 90.00 90.00 90.00
With the nearest neighbours (Å) after each atom.
Space group P4/mmm (No. 123)
Symmetry-distinct sites (fractional):
Al (0.0000, 0.0000, 0.0000) x1  2 Mo 2.55, 4 Ir 2.80
Mo (0.0000, 0.0000, 0.5000) x1  4 C 1.98
Ir (0.5000, 0.5000, 0.0000) x1  4 Al 2.80
C (0.0000, 0.5000, 0.5000) x2  2 Mo 1.98

Properties
Formation energy from the elements = 1.9176 eV/atom
Total DFT energy (no corrections) = -32.3 eV per cell
Total moment = 1.5 μB/cell

---

# 7
This record from Alexandria describes a geometry-optimized Pr5BeSe4 structure. The functional is PBE.

a b c (Å): 9.5251 9.5251 6.0111
angles (deg): 90.00 90.00 90.00
With the nearest neighbours (Å) after each atom.
Space group I4/m (No. 87)
Symmetry-distinct sites (fractional):
Pr (0.0000, 0.0000, 0.0000) x2  2 Be 3.01, 4 Se 3.02
Pr (0.0973, 0.2924, 0.5000) x8  1 Be 2.93, 5 Se 3.00-3.06
Be (0.0000, 0.0000, 0.5000) x2  6 Pr 2.93-3.01
Se (0.0971, 0.3020, 0.0000) x8  6 Pr 3.00-3.06

Properties
Formation energy without anion corrections = -1.46 eV/atom
Total DFT energy (no corrections) = -112.4 eV per cell
Total moment = 0.0 μB/cell

---

# 8
This record from Alexandria describes a geometry-optimized Na2LiTaO4 structure. The functional is PBE.

a b c (Å): 5.1578 5.1578 8.8392
angles (deg): 90.00 90.00 90.00
With the nearest neighbours (Å) after each atom.
Space group I-4 (No. 82)
Symmetry-distinct sites (fractional):
Na (0.0000, 0.0000, 0.0000) x2  4 O 2.37
Na (0.0000, 0.5000, 0.2500) x2  4 O 2.32
Li (0.0000, 0.5000, 0.7500) x2  4 O 2.03
Ta (0.0000, 0.0000, 0.5000) x2  4 O 1.87
O (0.1868, 0.2338, 0.6204) x8  1 Ta 1.87, 1 Li 2.03

Properties
Formation energy without anion corrections = -2.32 eV/atom
Total DFT energy (no corrections) = -109.6 eV per cell
Total moment = 0.0 μB/cell

---

Q: The highest total DFT energy (no corrections) belongs to which entry?
A: Ge3MoRu

---

Q: Which of these has the highest total moment?
A: Ge3MoRu

---

Q: total moment of number 2 (CuRh)?
A: 0.0 μB/cell

---

Q: Among the records above, which one has the highest total DFT energy (no corrections)?
A: Ge3MoRu